# 1
15
Lattice="8.9826 0.0000 0.0000 4.4913 7.7792 0.0000 4.4913 2.5931 6.8279" Properties=species:S:1:pos:R:3 comment="Tb8Ho6Er (PBE, optimized geometry)" total_energy_ev_per_cell=-67.2 formation_enthalpy_0k_kj_per_mol_atoms=12.3 de_polymorph_ev_per_atom=0.000 pbc="T T T"
Tb 8.9826 5.1861 4.9904
Tb 6.1307 3.6703 3.9384
Tb 11.8346 6.7020 2.8895
Tb 8.8694 1.9584 2.8895
Tb 11.7214 3.4742 3.9384
Tb 6.2439 6.8980 2.8895
Tb 8.9826 5.1861 1.8375
Tb 9.0958 8.4139 3.9384
Ho 2.5362 2.1351 0.8236
Ho 5.0723 4.5152 0.8236
Ho 12.0998 9.2434 6.0043
Ho 15.4291 8.2371 6.0043
Ho 5.8655 1.1289 0.8236
Ho 12.8930 5.8570 6.0043
Er 0.0000 0.0000 0.0000

---

# 2
12
Lattice="5.1349 -0.0307 1.7112 0.0414 7.7021 0.0138 0.0080 -0.0153 8.5358" Properties=species:S:1:pos:R:3 comment="Ca5SmCd6 (PBE, optimized geometry)" total_energy_ev_per_cell=-24.6 formation_enthalpy_0k_kj_per_mol_atoms=-34.8 pbc="T T T"
Cd 4.3200 5.7665 4.2606
Cd 0.8643 1.8896 6.0003
Cd 2.5776 1.8662 0.8590
Cd 2.5988 5.8052 0.8661
Cd 0.8853 5.7818 6.0073
Cd 4.2990 1.8743 4.2535
Ca 3.4492 3.8204 6.8387
Ca 3.4310 -0.0307 6.8241
Ca 0.0207 3.8511 0.0069
Ca 1.7352 3.8357 3.4221
Ca 1.7119 -0.0153 3.4229
Sm 0.0000 0.0000 0.0000

---

# 3
5
Lattice="-2.7175 -2.4412 3.0095 3.8040 -2.8723 1.1050 1.2153 2.9534 3.4931" Properties=species:S:1:pos:R:3 comment="HfScTa2Si (PBE, optimized geometry)" total_energy_ev_per_cell=-43.3 e_form_raw_ev_per_fu=2.1 pbc="T T T"
Ta 0.6077 1.4767 1.7466
Ta -1.3587 -1.2206 1.5047
Hf 1.9020 -1.4361 0.5525
Si 0.0000 0.0000 0.0000
Sc 1.1509 -1.1800 3.8038

---

# 4
7
Lattice="-2.4595 -1.1596 3.7499 1.1404 -3.2210 -3.1092 7.4510 0.5476 2.1524" Properties=species:S:1:pos:R:3 comment="Sc2Cd2Pd3 (PBE, optimized geometry)" total_energy_ev_per_cell=-34.8 formation_enthalpy_0k_kj_per_mol_atoms=-65.2 de_polymorph_ev_per_atom=0.000 pbc="T T T"
Cd 3.6953 -3.3202 1.3660
Cd 2.4367 -0.5129 1.4270
Pd 1.3071 -2.8189 -0.0258
Pd 0.0000 0.0000 0.0000
Pd 4.8249 -1.0142 2.8188
Sc 6.4346 -1.7854 0.7729
Sc -0.3027 -2.0477 2.0201

---

| no. | volume (Å³ per cell) |
| --- | --- |
| 1 | 477.1 |
| 2 | 337.5 |
| 3 | 109.6 |
| 4 | 134.9 |